VASP calculation (GGA-PBE) on a relaxed Gd2Os crystal.

Unit cell a=5.806 b=5.806 c=5.806 alpha=60.00 beta=60.00 gamma=60.00
Element x y z (fractional)
Gd 0.000 0.000 0.000
Gd 0.000 0.000 0.500
Gd 0.000 0.500 0.000
Gd 0.500 0.000 0.000
Os 0.375 0.375 0.375
Os 0.625 0.625 0.625

Results
- crystal system = cubic
- ΔE_f (eV/atom) = 1.179
- total energy (eV per cell) = -34.00
- total magnetic moment (μB per cell) = 0.6


VASP calculation (GGA-PBE) on a relaxed GdOs crystal.

Unit cell a=4.438 b=4.438 c=4.438 alpha=60.00 beta=60.00 gamma=60.00
Element x y z (fractional)
Gd 0.000 0.000 0.000
Os 0.750 0.750 0.750

Results
- crystal system = cubic
- ΔE_f (eV/atom) = 1.610
- total energy (eV per cell) = -12.66
- total magnetic moment (μB per cell) = 1.0


VASP calculation (GGA-PBE) on a relaxed GdOs crystal.

Unit cell a=4.057 b=4.057 c=4.057 alpha=60.00 beta=60.00 gamma=60.00
Element x y z (fractional)
Gd 0.000 0.000 0.000
Os 0.500 0.500 0.500

Results
- crystal system = cubic
- ΔE_f (eV/atom) = 0.774
- total energy (eV per cell) = -14.33
- total magnetic moment (μB per cell) = 1.0


VASP calculation (GGA-PBE) on a relaxed GdOs crystal.

Unit cell a=3.279 b=3.279 c=4.449 alpha=90.00 beta=90.00 gamma=120.00
Element x y z (fractional)
Gd 0.000 0.000 0.000
Os 0.667 0.333 0.500

Results
- crystal system = hexagonal
- ΔE_f (eV/atom) = 0.473
- total energy (eV per cell) = -14.94
- total magnetic moment (μB per cell) = 0.0